# K4LaTe, relaxed, DFT PBE-GGA
# Final energy   -43.7 eV/cell
# Density of states at the Fermi level   6.3 states/eV/f.u.
# Magnetic moment   2.8 μB/f.u.
# Formation energy without anion corrections   255 meV/atom
data_K4LaTe
_symmetry_space_group_name_H-M 'F -4 3 m'
_symmetry_Int_Tables_number 216
_symmetry_space_group_name_Hall 'F -4 2 3'
_cell_length_a 10.422
_cell_length_b 10.422
_cell_length_c 10.422
_cell_angle_alpha 90.00
_cell_angle_beta 90.00
_cell_angle_gamma 90.00
loop_
_atom_site_label
_atom_site_type_symbol
_atom_site_fract_x
_atom_site_fract_y
_atom_site_fract_z
K1 K 0.123 0.123 0.377
La1 La 0.000 0.000 0.000
Te1 Te 0.250 0.250 0.750